Below is a PBEsol-optimized structure of LiSbSeI2, with properties calculated at the SCAN level.

- Raw formation energy: 0.145 eV/atom
- E above lowest polymorph: 0 meV/atom

Cell: 5.728 5.728 5.465 Å, 90.00 90.00 90.00°
Space group P4/mmm (No. 123)
Asymmetric unit:
1 Li 0.000 0.000 0.000 (multiplicity 1)
2 Sb 0.500 0.500 0.000 (multiplicity 1)
3 Se 0.500 0.500 0.500 (multiplicity 1)
4 I 0.000 0.500 0.500 (multiplicity 2)